(1)
Computed, not measured: CrFe4Pt at its PBEsol-relaxed geometry at the SCAN level of DFT.

Total magnetic moment in μB/f.u.: 6.9
DFT formation energy in kJ/mol of formula units: -98
D(E_F) in states/eV per atom: 0.5998

a b c (Å): 4.630 4.630 4.630
angles (deg): 60.00 60.00 60.00
Positions (direct):
Cr (0.000, 0.000, 0.000)
Fe (0.375, 0.375, 0.375)
Fe (0.375, 0.375, 0.874)
Fe (0.375, 0.874, 0.375)
Fe (0.874, 0.375, 0.375)
Pt (0.750, 0.750, 0.750)

(2)
Computed, not measured: InGa2Ge2 at its PBEsol-relaxed geometry at the SCAN level of DFT.

Total magnetic moment in μB/f.u.: 0.0
DFT formation energy in kJ/mol of formula units: 69
D(E_F) in states/eV per atom: 0.3237

a b c (Å): 5.867 5.867 5.867
angles (deg): 133.64 133.64 67.65
Positions (direct):
In (0.000, 0.000, 0.000)
Ga (0.250, 0.750, 0.500)
Ga (0.750, 0.250, 0.500)
Ge (0.374, 0.374, 0.000)
Ge (0.626, 0.626, 0.000)